(1)
! Zr3VAg | Alexandria via LeMat-Bulk | PBE | optimized geometry; values from VASP
! SG: Pm-3m
! energy above the lowest structure with this stoichiometry: 0 meV/atom
! total moment: 0.00 μB per atom
! final energy: -0.50524 Ry/atom
&SYSTEM
  ibrav = 0, nat = 5, ntyp = 3
/
ATOMIC_SPECIES
Ag 107.87 Ag.upf
Zr 91.22 Zr.upf
V 50.94 V.upf
ATOMIC_POSITIONS crystal
Ag 0.500 0.500 0.500
Zr 0.000 0.000 0.500
Zr 0.000 0.500 0.000
V 0.000 0.000 0.000
Zr 0.500 0.000 0.000
CELL_PARAMETERS angstrom
-4.369 0.373 -2.135
1.233 -3.522 -3.140
-1.782 -3.353 3.061

***

(2)
! ZrVAg3 | Alexandria via LeMat-Bulk | PBE | optimized geometry; values from VASP
! SG: Pm-3m
! energy above the lowest structure with this stoichiometry: 0 meV/atom
! total moment: 0.31 μB per atom
! final energy: -0.30714 Ry/atom
&SYSTEM
  ibrav = 0, nat = 5, ntyp = 3
/
ATOMIC_SPECIES
Ag 107.87 Ag.upf
V 50.94 V.upf
Zr 91.22 Zr.upf
ATOMIC_POSITIONS crystal
Ag 0.500 0.000 0.000
Ag 0.000 0.500 0.000
Ag 0.000 0.000 0.500
V 0.000 0.000 0.000
Zr 0.500 0.500 0.500
CELL_PARAMETERS angstrom
4.839 0.000 0.000
0.000 4.839 0.000
0.000 0.000 4.839

***

(3)
! AgW3 | Alexandria via LeMat-Bulk | PBE | optimized geometry; values from VASP
! SG: Cmmm
! energy above the lowest structure with this stoichiometry: 0 meV/atom
! total moment: 0.00 μB per atom
! final energy: -0.74182 Ry/atom
&SYSTEM
  ibrav = 0, nat = 4, ntyp = 2
/
ATOMIC_SPECIES
W 183.84 W.upf
Ag 107.87 Ag.upf
ATOMIC_POSITIONS crystal
W 0.500 0.500 0.740
Ag 0.000 0.000 0.000
W 0.000 0.000 0.500
W 0.500 0.500 0.260
CELL_PARAMETERS angstrom
2.737 0.013 0.000
-0.851 2.602 0.000
0.000 0.000 9.252

***

(4)
! AgW3 | Alexandria via LeMat-Bulk | PBE | optimized geometry; values from VASP
! SG: Pm-3m
! energy above the lowest structure with this stoichiometry: 3876 meV/atom
! total moment: 0.00 μB per atom
! final energy: -0.45693 Ry/atom
&SYSTEM
  ibrav = 0, nat = 4, ntyp = 2
/
ATOMIC_SPECIES
W 183.84 W.upf
Ag 107.87 Ag.upf
ATOMIC_POSITIONS crystal
W 0.000 0.000 0.500
W 0.500 0.000 0.000
Ag 0.000 0.000 0.000
W 0.000 0.500 0.000
CELL_PARAMETERS angstrom
-3.813 1.487 2.612
-2.129 -4.314 -0.652
2.122 -1.657 4.040

***

(5)
! Ag4W5 | Alexandria via LeMat-Bulk | PBE | optimized geometry; values from VASP
! SG: I4/mmm
! total moment: 0.00 μB per atom
! final energy: -0.57742 Ry/atom
&SYSTEM
  ibrav = 0, nat = 9, ntyp = 2
/
ATOMIC_SPECIES
Ag 107.87 Ag.upf
W 183.84 W.upf
ATOMIC_POSITIONS crystal
Ag 0.334 0.000 0.334
W 0.665 0.335 0.000
W 0.665 0.665 0.330
W 0.335 0.665 0.000
Ag 0.000 0.666 0.666
Ag 0.666 0.000 0.666
Ag 0.000 0.334 0.334
W 0.000 0.000 0.000
W 0.335 0.335 0.670
CELL_PARAMETERS angstrom
-2.822 -4.058 4.690
0.046 5.749 -3.658
-2.165 -3.809 -5.218

***

(6)
! AgW4 | Alexandria via LeMat-Bulk | PBE | optimized geometry; values from VASP
! SG: I4/m
! energy above the lowest structure with this stoichiometry: 0 meV/atom
! total moment: 0.00 μB per atom
! final energy: -0.76244 Ry/atom
&SYSTEM
  ibrav = 0, nat = 5, ntyp = 2
/
ATOMIC_SPECIES
Ag 107.87 Ag.upf
W 183.84 W.upf
ATOMIC_POSITIONS crystal
Ag 0.000 0.000 0.000
W 0.798 0.412 0.210
W 0.412 0.202 0.613
W 0.202 0.588 0.790
W 0.588 0.798 0.387
CELL_PARAMETERS angstrom
-3.077 3.077 2.181
3.077 -3.077 2.181
3.077 3.077 -2.181

***

(7)
! Ag2W | Alexandria via LeMat-Bulk | PBE | optimized geometry; values from VASP
! SG: I4_1/amd
! energy above the lowest structure with this stoichiometry: 134 meV/atom
! total moment: 0.00 μB per atom
! final energy: -0.41399 Ry/atom
&SYSTEM
  ibrav = 0, nat = 6, ntyp = 2
/
ATOMIC_SPECIES
Ag 107.87 Ag.upf
W 183.84 W.upf
ATOMIC_POSITIONS crystal
Ag 0.170 0.670 0.500
Ag 0.420 0.420 0.000
W 0.750 0.250 0.500
Ag 0.580 0.580 0.000
W 0.000 0.000 0.000
Ag 0.330 0.830 0.500
CELL_PARAMETERS angstrom
-1.361 1.361 14.093
1.361 -1.361 14.093
1.361 1.361 -14.093

***

(8)
! Ag2W | Alexandria via LeMat-Bulk | PBE | optimized geometry; values from VASP
! SG: Cmcm
! energy above the lowest structure with this stoichiometry: 376 meV/atom
! total moment: 0.00 μB per atom
! final energy: -0.39622 Ry/atom
&SYSTEM
  ibrav = 0, nat = 6, ntyp = 2
/
ATOMIC_SPECIES
Ag 107.87 Ag.upf
W 183.84 W.upf
ATOMIC_POSITIONS crystal
Ag 0.944 0.056 0.250
W 0.391 0.609 0.750
W 0.609 0.391 0.250
Ag 0.056 0.944 0.750
Ag 0.277 0.723 0.250
Ag 0.723 0.277 0.750
CELL_PARAMETERS angstrom
-2.920 6.636 -2.910
2.850 -5.119 5.167
4.512 1.581 -0.923

***

(9)
! AgW4 | Alexandria via LeMat-Bulk | PBE | optimized geometry; values from VASP
! SG: I4/mmm
! energy above the lowest structure with this stoichiometry: 512 meV/atom
! total moment: 0.00 μB per atom
! final energy: -0.72483 Ry/atom
&SYSTEM
  ibrav = 0, nat = 5, ntyp = 2
/
ATOMIC_SPECIES
W 183.84 W.upf
Ag 107.87 Ag.upf
ATOMIC_POSITIONS crystal
W 0.750 0.250 0.500
W 0.250 0.750 0.500
W 0.617 0.617 0.000
Ag 0.000 0.000 0.000
W 0.383 0.383 0.000
CELL_PARAMETERS angstrom
-2.086 2.086 5.676
2.086 -2.086 5.676
2.086 2.086 -5.676

***

(10)
! AgW3 | Alexandria via LeMat-Bulk | PBE | optimized geometry; values from VASP
! SG: Immm
! energy above the lowest structure with this stoichiometry: 231 meV/atom
! total moment: 0.00 μB per atom
! final energy: -0.72483 Ry/atom
&SYSTEM
  ibrav = 0, nat = 4, ntyp = 2
/
ATOMIC_SPECIES
Ag 107.87 Ag.upf
W 183.84 W.upf
ATOMIC_POSITIONS crystal
Ag 0.000 0.000 0.000
W 0.736 0.236 0.500
W 0.500 0.500 0.000
W 0.264 0.764 0.500
CELL_PARAMETERS angstrom
5.229 -0.012 -0.010
2.259 4.716 0.010
-3.312 -3.040 2.671

***

(11)
! Ag4W3 | Alexandria via LeMat-Bulk | PBE | optimized geometry; values from VASP
! SG: I4/mmm
! total moment: 0.00 μB per atom
! final energy: -0.49037 Ry/atom
&SYSTEM
  ibrav = 0, nat = 7, ntyp = 2
/
ATOMIC_SPECIES
Ag 107.87 Ag.upf
W 183.84 W.upf
ATOMIC_POSITIONS crystal
Ag 0.571 0.571 0.000
W 0.715 0.715 0.000
Ag 0.856 0.856 0.000
Ag 0.144 0.144 0.000
Ag 0.429 0.429 0.000
W 0.000 0.000 0.000
W 0.285 0.285 0.000
CELL_PARAMETERS angstrom
-1.367 1.367 15.766
1.367 -1.367 15.766
1.367 1.367 -15.766

***

(12)
! AgW3 | Alexandria via LeMat-Bulk | PBE | optimized geometry; values from VASP
! SG: C2/m
! energy above the lowest structure with this stoichiometry: 220 meV/atom
! total moment: 0.00 μB per atom
! final energy: -0.72567 Ry/atom
&SYSTEM
  ibrav = 0, nat = 4, ntyp = 2
/
ATOMIC_SPECIES
Ag 107.87 Ag.upf
W 183.84 W.upf
ATOMIC_POSITIONS crystal
Ag 0.000 0.000 0.000
W 0.997 0.997 0.249
W 0.003 0.003 0.751
W 0.000 0.000 0.500
CELL_PARAMETERS angstrom
4.917 -0.005 -0.004
4.189 2.574 -0.004
-9.631 -2.717 5.204

***

(13)
! AgW3 | Alexandria via LeMat-Bulk | PBE | optimized geometry; values from VASP
! SG: R-3m
! energy above the lowest structure with this stoichiometry: 203 meV/atom
! total moment: 0.00 μB per atom
! final energy: -0.72688 Ry/atom
&SYSTEM
  ibrav = 0, nat = 4, ntyp = 2
/
ATOMIC_SPECIES
W 183.84 W.upf
Ag 107.87 Ag.upf
ATOMIC_POSITIONS crystal
W 0.500 0.500 0.500
W 0.751 0.751 0.751
Ag 0.000 0.000 0.000
W 0.249 0.249 0.249
CELL_PARAMETERS angstrom
10.086 0.010 0.006
9.699 2.766 0.006
9.699 1.361 2.408

***

(14)
! Ag2W | Alexandria via LeMat-Bulk | PBE | optimized geometry; values from VASP
! SG: Cm
! energy above the lowest structure with this stoichiometry: 126 meV/atom
! total moment: 0.00 μB per atom
! final energy: -0.41458 Ry/atom
&SYSTEM
  ibrav = 0, nat = 6, ntyp = 2
/
ATOMIC_SPECIES
Ag 107.87 Ag.upf
W 183.84 W.upf
ATOMIC_POSITIONS crystal
Ag 0.662 0.662 0.660
Ag 0.006 0.006 0.996
W 0.282 0.282 0.937
Ag 0.340 0.340 0.328
W 0.932 0.932 0.628
Ag 0.611 0.611 0.284
CELL_PARAMETERS angstrom
-3.382 -0.234 -4.647
-1.962 -2.541 -4.773
-5.700 -3.618 2.055

***

(15)
! Ag2W | Alexandria via LeMat-Bulk | PBE | optimized geometry; values from VASP
! SG: Fd-3m
! energy above the lowest structure with this stoichiometry: 560 meV/atom
! total moment: 0.00 μB per atom
! final energy: -0.38272 Ry/atom
&SYSTEM
  ibrav = 0, nat = 6, ntyp = 2
/
ATOMIC_SPECIES
Ag 107.87 Ag.upf
W 183.84 W.upf
ATOMIC_POSITIONS crystal
Ag 0.125 0.625 0.125
Ag 0.125 0.125 0.625
Ag 0.125 0.125 0.125
Ag 0.625 0.125 0.125
W 0.500 0.500 0.500
W 0.750 0.750 0.750
CELL_PARAMETERS angstrom
0.000 3.719 3.719
3.719 0.000 3.719
3.719 3.719 0.000

***

(16)
! Ag2W | Alexandria via LeMat-Bulk | PBE | optimized geometry; values from VASP
! SG: P4/mmm
! energy above the lowest structure with this stoichiometry: 588 meV/atom
! total moment: 0.00 μB per atom
! final energy: -0.38066 Ry/atom
&SYSTEM
  ibrav = 0, nat = 3, ntyp = 2
/
ATOMIC_SPECIES
W 183.84 W.upf
Ag 107.87 Ag.upf
ATOMIC_POSITIONS crystal
W 0.000 0.000 0.000
Ag 0.500 0.000 0.500
Ag 0.000 0.500 0.500
CELL_PARAMETERS angstrom
-2.339 -0.604 4.338
2.569 -4.172 0.804
1.901 1.406 1.221

***

(17)
! AgW3 | Alexandria via LeMat-Bulk | PBE | optimized geometry; values from VASP
! SG: Pm-3n
! energy above the lowest structure with this stoichiometry: 217 meV/atom
! total moment: 0.00 μB per atom
! final energy: -0.72586 Ry/atom
&SYSTEM
  ibrav = 0, nat = 8, ntyp = 2
/
ATOMIC_SPECIES
W 183.84 W.upf
Ag 107.87 Ag.upf
ATOMIC_POSITIONS crystal
W 0.500 0.000 0.750
W 0.750 0.500 0.000
Ag 0.000 0.000 0.000
Ag 0.500 0.500 0.500
W 0.500 0.000 0.250
W 0.000 0.750 0.500
W 0.000 0.250 0.500
W 0.250 0.500 0.000
CELL_PARAMETERS angstrom
-2.582 2.798 3.347
-4.236 -2.538 -1.146
1.043 -3.381 3.631

***

(18)
! Ag2W | Alexandria via LeMat-Bulk | PBE | optimized geometry; values from VASP
! SG: P-3m1
! energy above the lowest structure with this stoichiometry: 335 meV/atom
! total moment: 0.10 μB per atom
! final energy: -0.39926 Ry/atom
&SYSTEM
  ibrav = 0, nat = 3, ntyp = 2
/
ATOMIC_SPECIES
Ag 107.87 Ag.upf
W 183.84 W.upf
ATOMIC_POSITIONS crystal
Ag 0.333 0.667 0.504
Ag 0.667 0.333 0.496
W 0.000 0.000 0.000
CELL_PARAMETERS angstrom
-3.763 -2.741 0.543
2.223 0.139 -4.124
1.574 -2.007 0.781

***

(19)
! AgW3 | Alexandria via LeMat-Bulk | PBE | optimized geometry; values from VASP
! SG: P4/mmm
! energy above the lowest structure with this stoichiometry: 185 meV/atom
! total moment: 0.00 μB per atom
! final energy: -0.72820 Ry/atom
&SYSTEM
  ibrav = 0, nat = 4, ntyp = 2
/
ATOMIC_SPECIES
W 183.84 W.upf
Ag 107.87 Ag.upf
ATOMIC_POSITIONS crystal
W 0.000 0.000 0.500
W 0.500 0.500 0.252
W 0.500 0.500 0.748
Ag 0.000 0.000 0.000
CELL_PARAMETERS angstrom
-2.035 -1.727 -0.319
1.727 -1.880 -0.841
1.084 -2.871 8.643

***

(20)
! Ag8W | Alexandria via LeMat-Bulk | PBE | optimized geometry; values from VASP
! SG: I4/mmm
! total moment: 0.07 μB per atom
! final energy: -0.26609 Ry/atom
&SYSTEM
  ibrav = 0, nat = 9, ntyp = 2
/
ATOMIC_SPECIES
Ag 107.87 Ag.upf
W 183.84 W.upf
ATOMIC_POSITIONS crystal
Ag 0.000 0.666 0.666
W 0.000 0.000 0.000
Ag 0.334 0.000 0.334
Ag 0.666 0.666 0.331
Ag 0.334 0.666 0.000
Ag 0.000 0.334 0.334
Ag 0.334 0.334 0.669
Ag 0.666 0.334 0.000
Ag 0.666 0.000 0.666
CELL_PARAMETERS angstrom
1.116 -7.150 -2.315
-2.159 5.684 4.556
-6.236 0.703 -4.284

***

| no. | formation energy (eV/atom) |
| --- | --- |
| 1 | 0.649 |
| 2 | 1.065 |
| 3 | 0.335 |
| 4 | 4.211 |
| 5 | 0.607 |
| 6 | 0.559 |
| 7 | 0.586 |
| 8 | 0.828 |
| 9 | 1.071 |
| 10 | 0.566 |
| 11 | 0.509 |
| 12 | 0.554 |
| 13 | 0.538 |
| 14 | 0.578 |
| 15 | 1.011 |
| 16 | 1.039 |
| 17 | 0.552 |
| 18 | 0.786 |
| 19 | 0.520 |
| 20 | 0.353 |